# 1
{"formula": "TaV4Ru5", "functional": "PBE", "state": "relaxed", "spacegroup": "P4/mmm, No. 123", "lattice_angstrom": [[2.9638, 0.0000, 0.0000], [0.0000, 2.9638, 0.0000], [0.0000, 0.0000, 16.1082]], "species": ["Ta", "V", "V", "V", "V", "Ru", "Ru", "Ru", "Ru", "Ru"], "fractional_positions": [[0.0000, 0.0000, 0.0000], [0.0000, 0.0000, 0.2093], [0.0000, 0.0000, 0.4038], [0.0000, 0.0000, 0.5962], [0.0000, 0.0000, 0.7907], [0.5000, 0.5000, 0.1233], [0.5000, 0.5000, 0.3105], [0.5000, 0.5000, 0.5000], [0.5000, 0.5000, 0.6895], [0.5000, 0.5000, 0.8767]]}


# 2
{"formula": "TaV3Ru", "functional": "PBE", "state": "relaxed", "spacegroup": "Pm-3m, No. 221", "e_above_lowest_polymorph_ev_per_atom": 1.8208, "lattice_angstrom": [[4.5183, 0.0000, 0.0000], [0.0000, 4.5183, 0.0000], [0.0000, 0.0000, 4.5183]], "species": ["Ta", "V", "V", "V", "Ru"], "fractional_positions": [[0.0000, 0.0000, 0.0000], [0.0000, 0.0000, 0.5000], [0.0000, 0.5000, 0.0000], [0.5000, 0.0000, 0.0000], [0.5000, 0.5000, 0.5000]]}


no.,E (eV per atom),density of states at the Fermi level (states/eV/cell),formation energy from the elements (eV/f.u.)
1,-9.738,11.04,-2.671
2,-7.965,9.30,8.660